1.
Compound: PrP2Ru2
Source: Alexandria
Functional: PBE-GGA
Structure: optimized geometry

* calculated volume: 172.5 Å³/cell
* raw total energy: -7.835 eV/atom
* formation enthalpy at 0 K: -1.004 eV per atom

a b c (Å): 4.057 4.057 10.483
angles (deg): 90.00 90.00 90.00
Fractional positions:
Pr 0.000 0.000 0.000
Pr 0.500 0.500 0.500
P 0.000 0.000 0.362
P 0.000 0.000 0.638
P 0.500 0.500 0.138
P 0.500 0.500 0.862
Ru 0.000 0.500 0.250
Ru 0.000 0.500 0.750
Ru 0.500 0.000 0.250
Ru 0.500 0.000 0.750

2.
Compound: InFeBr
Source: Alexandria
Functional: PBE-GGA
Structure: optimized geometry

* calculated volume: 68.8 Å³/cell
* raw total energy: -4.132 eV/atom
* formation energy (no corrections): 0.16 eV/atom

a b c (Å): 3.503 3.503 6.469
angles (deg): 90.00 90.00 120.00
Fractional positions:
In 0.000 0.000 0.000
Fe 0.667 0.333 0.709
Br 0.333 0.667 0.474

3.
Compound: Hf2Ti4Co
Source: Alexandria
Functional: PBE-GGA
Structure: optimized geometry

* calculated volume: 281.0 Å³/cell
* raw total energy: -7.880 eV/atom
* formation enthalpy at 0 K: 0.491 eV per atom

a b c (Å): 4.392 4.392 14.568
angles (deg): 90.00 90.00 90.00
Fractional positions:
Hf 0.000 0.000 0.138
Hf 0.000 0.000 0.862
Hf 0.500 0.500 0.362
Hf 0.500 0.500 0.638
Ti 0.000 0.000 0.337
Ti 0.000 0.000 0.663
Ti 0.000 0.500 0.000
Ti 0.000 0.500 0.500
Ti 0.500 0.000 0.000
Ti 0.500 0.000 0.500
Ti 0.500 0.500 0.163
Ti 0.500 0.500 0.837
Co 0.000 0.000 0.500
Co 0.500 0.500 0.000